First-principles (GGA-PBE) data for a geometry-optimized TmGa4CuPt2 structure, as listed in Alexandria.

Lattice parameters (Å, degrees): 8.795 8.795 8.795 28.16 28.16 28.16
Fractional coordinates of all 8 atoms:
Tm  0.000  0.000  0.000
Ga  0.132  0.132  0.132
Ga  0.396  0.396  0.396
Ga  0.604  0.604  0.604
Ga  0.868  0.868  0.868
Cu  0.500  0.500  0.500
Pt  0.243  0.243  0.243
Pt  0.757  0.757  0.757

**Energy of formation from the pure elements**: -54.6 kJ per mole of atoms
**Total magnetization**: 0.00 μB/cell



First-principles (GGA-PBE) data for a geometry-optimized LaSn2I8 structure, as listed in Alexandria.

Lattice parameters (Å, degrees): 9.052 9.052 8.196 101.78 101.78 79.62
Fractional coordinates of all 11 atoms:
La  0.000  0.000  0.000
Sn  0.187  0.187  0.643
Sn  0.813  0.813  0.357
I  0.105  0.729  0.214
I  0.211  0.211  0.271
I  0.271  0.895  0.786
I  0.385  0.385  0.846
I  0.615  0.615  0.154
I  0.729  0.105  0.214
I  0.789  0.789  0.729
I  0.895  0.271  0.786

**Energy relative to the elements, uncorrected**: -781 kJ/mol of formula units
**Total magnetization**: 0.00 μB/cell



First-principles (GGA-PBE) data for a geometry-optimized LiIn2IrO structure, as listed in Alexandria.

Lattice parameters (Å, degrees): 5.048 5.048 3.143 90.00 90.00 90.00
Fractional coordinates of all 5 atoms:
Li  0.000  0.000  0.000
In  0.000  0.500  0.000
In  0.500  0.000  0.000
Ir  0.500  0.500  0.500
O  0.000  0.000  0.500

**Energy relative to the elements, uncorrected**: -58 kJ/mol of formula units
**Total magnetization**: 0.00 μB/cell



First-principles (GGA-PBE) data for a geometry-optimized K2CoSb structure, as listed in Alexandria.

Lattice parameters (Å, degrees): 6.272 6.272 6.272 137.91 137.91 61.03
Fractional coordinates of all 4 atoms:
K  0.250  0.750  0.500
K  0.750  0.250  0.500
Co  0.000  0.000  0.000
Sb  0.500  0.500  0.000

**Energy relative to the elements, uncorrected**: 185 kJ/mol of formula units
**Total magnetization**: 1.78 μB/cell



First-principles (GGA-PBE) data for a geometry-optimized YLuSe3 structure, as listed in Alexandria.

Lattice parameters (Å, degrees): 5.341 5.341 5.341 90.00 90.00 90.00
Fractional coordinates of all 5 atoms:
Y  0.000  0.000  0.000
Lu  0.500  0.500  0.500
Se  0.000  0.000  0.500
Se  0.000  0.500  0.000
Se  0.500  0.000  0.000

**Energy relative to the elements, uncorrected**: -412 kJ/mol of formula units
**Total magnetization**: 0.00 μB/cell
**Energy above the lowest structure with this stoichiometry**: 1027 meV/atom



First-principles (GGA-PBE) data for a geometry-optimized Y2Ga9Ag structure, as listed in Alexandria.

Lattice parameters (Å, degrees): 4.287 4.287 12.529 90.00 90.00 90.00
Fractional coordinates of all 12 atoms:
Y  0.000  0.000  0.173
Y  0.000  0.000  0.827
Ga  0.000  0.500  0.000
Ga  0.000  0.500  0.348
Ga  0.000  0.500  0.652
Ga  0.500  0.000  0.000
Ga  0.500  0.000  0.348
Ga  0.500  0.000  0.652
Ga  0.500  0.500  0.160
Ga  0.500  0.500  0.500
Ga  0.500  0.500  0.840
Ag  0.000  0.000  0.500

**Energy of formation from the pure elements**: -31.7 kJ per mole of atoms
**Total magnetization**: 0.00 μB/cell



First-principles (GGA-PBE) data for a geometry-optimized Li2PaTl structure, as listed in Alexandria.

Lattice parameters (Å, degrees): 11.360 11.360 11.360 15.79 15.79 15.79
Fractional coordinates of all 4 atoms:
Li  0.092  0.092  0.092
Li  0.908  0.908  0.908
Pa  0.000  0.000  0.000
Tl  0.500  0.500  0.500

**Energy of formation from the pure elements**: 20.6 kJ per mole of atoms
**Total magnetization**: 0.00 μB/cell



First-principles (GGA-PBE) data for a geometry-optimized La2NdHo9 structure, as listed in Alexandria.

Lattice parameters (Å, degrees): 11.352 11.352 3.502 90.00 90.00 120.00
Fractional coordinates of all 12 atoms:
La  0.333  0.667  0.000
La  0.667  0.333  0.000
Nd  0.000  0.000  0.000
Ho  0.000  0.500  0.000
Ho  0.174  0.347  0.500
Ho  0.174  0.826  0.500
Ho  0.347  0.174  0.500
Ho  0.500  0.000  0.000
Ho  0.500  0.500  0.000
Ho  0.653  0.826  0.500
Ho  0.826  0.174  0.500
Ho  0.826  0.653  0.500

**Energy of formation from the pure elements**: 8.1 kJ per mole of atoms
**Total magnetization**: 0.00 μB/cell
**Energy above the lowest structure with this stoichiometry**: 54 meV/atom



First-principles (GGA-PBE) data for a geometry-optimized LaMg2Cr structure, as listed in Alexandria.

Lattice parameters (Å, degrees): 3.421 3.421 8.380 90.00 90.00 90.00
Fractional coordinates of all 4 atoms:
La  0.000  0.000  0.000
Mg  0.000  0.000  0.571
Mg  0.500  0.500  0.325
Cr  0.500  0.500  0.757

**Energy of formation from the pure elements**: 24.7 kJ per mole of atoms
**Total magnetization**: 3.18 μB/cell



First-principles (GGA-PBE) data for a geometry-optimized Al2AgCl structure, as listed in Alexandria.

Lattice parameters (Å, degrees): 3.120 3.204 7.512 90.00 90.00 90.00
Fractional coordinates of all 4 atoms:
Al  0.000  0.000  0.226
Al  0.000  0.000  0.774
Ag  0.500  0.500  0.000
Cl  0.500  0.500  0.500

**Energy relative to the elements, uncorrected**: -4 kJ/mol of formula units
**Total magnetization**: 0.00 μB/cell
**Energy above the lowest structure with this stoichiometry**: 221 meV/atom



First-principles (GGA-PBE) data for a geometry-optimized HgTe2Au structure, as listed in Alexandria.

Lattice parameters (Å, degrees): 4.455 4.455 7.300 90.00 90.00 120.00
Fractional coordinates of all 4 atoms:
Hg  0.000  0.000  0.000
Te  0.333  0.667  0.832
Te  0.667  0.333  0.323
Au  0.333  0.667  0.464

**Energy relative to the elements, uncorrected**: 16 kJ/mol of formula units
**Total magnetization**: 0.00 μB/cell



First-principles (GGA-PBE) data for a geometry-optimized Nb2BTe4 structure, as listed in Alexandria.

Lattice parameters (Å, degrees): 8.178 8.178 8.178 146.33 146.33 48.35
Fractional coordinates of all 7 atoms:
Nb  0.124  0.124  0.000
Nb  0.876  0.876  0.000
B  0.500  0.500  0.000
Te  0.000  0.500  0.500
Te  0.315  0.315  0.000
Te  0.500  0.000  0.500
Te  0.685  0.685  0.000

**Energy relative to the elements, uncorrected**: 427 kJ/mol of formula units
**Total magnetization**: 3.66 μB/cell



Calculated E, -4.66; -3.04; -4.36; -2.88; -5.14; -3.91; -3.71; -4.57; -4.18; -3.06; -2.42; -4.99 eV per atom (same order as the records).